Entry 1:
Compound: CaCeIr
Source: Alexandria via LeMat-Bulk
Functional: GGA-PBE
Structure: relaxed

Cell lengths 6.4993, 4.0544, 4.0544 Å; angles 120.00, 90.00, 90.00 degrees
Each line ends with the local moment (μB).
Element x y z (fractional)
Ca 0.7492 0.6667 0.3333  0.02
Ir 0.0202 0.0000 0.0000  -0.06
Ce 0.2307 0.3333 0.6667  0.67

Calculated values
The crystal system is trigonal. The total energy is -5.97 eV per atom. The total magnetic moment is 0.914 Bohr magnetons per cell.

***

Entry 2:
Compound: LaCeAlGa
Source: Alexandria via LeMat-Bulk
Functional: GGA-PBE
Structure: relaxed

Cell lengths 5.2691, 5.2691, 5.2691 Å; angles 60.00, 60.00, 60.00 degrees
Each line ends with the local moment (μB).
Element x y z (fractional)
Al 0.7500 0.7500 0.7500  0.01
Ga 0.2500 0.2500 0.2500  0.01
Ce 0.0000 0.0000 0.0000  0.65
La 0.5000 0.5000 0.5000  0.00

Calculated values
The crystal system is cubic. The total energy is -4.79 eV per atom. The total magnetic moment is 0.754 Bohr magnetons per cell.

***

Entry 3:
Compound: DyTm4Pd4
Source: Alexandria via LeMat-Bulk
Functional: GGA-PBE
Structure: relaxed

Cell lengths 5.6954, 8.9165, 8.9165 Å; angles 90.00, 90.00, 90.00 degrees
Element x y z (fractional)
Dy 0.0000 0.0000 0.0000
Dy 0.5000 0.5000 0.5000
Tm 0.4106 0.3244 0.9067
Tm 0.9106 0.5933 0.8244
Tm 0.4106 0.6756 0.0933
Tm 0.0894 0.1756 0.5933
Tm 0.5894 0.9067 0.6756
Tm 0.0894 0.8244 0.4067
Tm 0.9106 0.4067 0.1756
Tm 0.5894 0.0933 0.3244
Pd 0.5914 0.7833 0.3749
Pd 0.5914 0.2167 0.6251
Pd 0.0914 0.8749 0.7167
Pd 0.9086 0.2833 0.8749
Pd 0.9086 0.7167 0.1251
Pd 0.4086 0.3749 0.2167
Pd 0.4086 0.6251 0.7833
Pd 0.0914 0.1251 0.2833

Calculated values
The crystal system is tetragonal. The total energy is -5.51 eV per atom. The total magnetic moment is 0.000 Bohr magnetons per cell.

***

Entry 4:
Compound: ErAgGe
Source: Alexandria via LeMat-Bulk
Functional: GGA-PBE
Structure: relaxed

Cell lengths 5.4507, 5.4507, 5.1530 Å; angles 90.00, 90.00, 99.09 degrees
Element x y z (fractional)
Er 0.9577 0.5183 0.7500
Er 0.5183 0.9577 0.2500
Ge 0.0334 0.1687 0.2500
Ge 0.1687 0.0334 0.7500
Ag 0.4579 0.4579 0.0000
Ag 0.4579 0.4579 0.5000

Calculated values
The crystal system is orthorhombic. The total energy is -4.07 eV per atom. The total magnetic moment is 0.000 Bohr magnetons per cell.

***

Entry 5:
Compound: TaCo2Br
Source: Alexandria via LeMat-Bulk
Functional: GGA-PBE
Structure: relaxed

Cell lengths 3.0608, 4.4123, 4.4123 Å; angles 90.00, 90.00, 90.00 degrees
Each line ends with the local moment (μB).
Element x y z (fractional)
Br 0.5000 0.0000 0.5000  0.06
Co 0.0000 0.0000 0.0000  0.92
Co 0.0000 0.5000 0.5000  0.92
Ta 0.5000 0.5000 0.0000  0.01

Calculated values
The crystal system is tetragonal. The total magnetic moment is 1.878 Bohr magnetons per cell. As for the uncorrected formation energy: 0.73 eV/atom.

***

Entry 6:
Compound: LiTbAgSn
Source: Alexandria via LeMat-Bulk
Functional: GGA-PBE
Structure: relaxed

Cell lengths 5.0197, 5.0197, 5.0197 Å; angles 60.00, 60.00, 60.00 degrees
Element x y z (fractional)
Tb 0.0000 0.0000 0.0000
Sn 0.2500 0.2500 0.2500
Ag 0.7500 0.7500 0.7500
Li 0.5000 0.5000 0.5000

Calculated values
The crystal system is cubic. The total energy is -3.80 eV per atom. The total magnetic moment is 0.000 Bohr magnetons per cell.

***

Entry 7:
Compound: Ho8AsP3S4
Source: Alexandria via LeMat-Bulk
Functional: GGA-PBE
Structure: relaxed

Cell lengths 7.9175, 7.9090, 7.9176 Å; angles 120.04, 120.00, 90.00 degrees
Element x y z (fractional)
Ho 0.2509 0.7446 0.9937
Ho 0.2508 0.7445 0.5017
Ho 0.2530 0.2591 0.5061
Ho 0.7428 0.7446 0.9937
Ho 0.2572 0.2554 0.0063
Ho 0.7470 0.7409 0.4939
Ho 0.7492 0.2555 0.4983
Ho 0.7491 0.2554 0.0063
As 0.0000 0.5000 0.0000
P 0.5000 0.5000 0.0000
P 0.5000 0.5000 0.5000
P 0.0000 0.5000 0.5000
S 0.5000 0.0000 0.0000
S 0.5000 0.0000 0.5000
S 0.0000 0.0000 0.0000
S 0.0000 0.0000 0.5000

Calculated values
The crystal system is trigonal. The total magnetic moment is 0.000 Bohr magnetons per cell. As for the uncorrected formation energy: -1.84 eV/atom.

***

Entry 8:
Compound: MgIn2Te4
Source: Alexandria via LeMat-Bulk
Functional: GGA-PBE
Structure: relaxed

Cell lengths 6.3674, 6.3674, 7.7781 Å; angles 114.16, 114.16, 90.00 degrees
Element x y z (fractional)
Mg 0.0000 0.0000 0.0000
Te 0.4073 0.3626 0.2709
Te 0.0918 0.5927 0.7291
Te 0.6374 0.1364 0.7291
Te 0.8636 0.9082 0.2709
In 0.5000 0.5000 0.0000
In 0.2500 0.7500 0.5000

Calculated values
The crystal system is tetragonal. The total magnetic moment is 0.000 Bohr magnetons per cell. As for the uncorrected formation energy: -0.49 eV/atom.